SbAs2Br: optimized geometry, PBE.

calculated volume	24.66	Å³ per atom
energy relative to the elements, uncorrected	0.44	eV/atom
space-group type	Cmmm, No. 65
spin magnetization	0.00	μB/f.u.
final energy	-3.335	eV per atom

```
data_SbAs2Br
_cell_length_a 6.394
_cell_length_b 6.394
_cell_length_c 3.119
_cell_angle_alpha 90.00
_cell_angle_beta 90.00
_cell_angle_gamma 129.32
_space_group_name_H-M_alt 'P 1'
_space_group_IT_number 1
_space_group_name_Hall 'P 1'
loop_
_atom_site_label
_atom_site_type_symbol
_atom_site_fract_x
_atom_site_fract_y
_atom_site_fract_z
Sb1 Sb 0.000 0.500 0.500
As1 As 0.500 0.500 0.000
As2 As 0.000 0.000 0.000
Br1 Br 0.500 0.000 0.500
```